## Mo2IrPdPb (GGA-PBE)

Data for an optimized crystal structure of Mo2IrPdPb.

## Properties
Formation energy from the elements (eV/atom): 2.56
Energy (eV/atom): -5.326

Unit cell a=5.1191 b=5.1191 c=4.9101 alpha=90.00 beta=90.00 gamma=90.00
Fractional positions:
Mo 0.0000 0.5000 0.0000
Mo 0.5000 0.0000 0.0000
Ir 0.0000 0.0000 0.5000
Pd 0.5000 0.5000 0.5000
Pb 0.0000 0.0000 0.0000

---

## MgCuHAu2 (GGA-PBE)

Data for an optimized crystal structure of MgCuHAu2.

## Properties
Energy (eV/atom): -2.743

Unit cell a=5.1666 b=5.1666 c=3.1747 alpha=90.00 beta=90.00 gamma=90.00
Fractional positions:
Mg 0.0000 0.0000 0.0000
Cu 0.5000 0.5000 0.5000
H 0.0000 0.0000 0.5000
Au 0.0000 0.5000 0.0000
Au 0.5000 0.0000 0.0000

---

## NaLi4Hf3S8 (GGA-PBE)

Data for an optimized crystal structure of NaLi4Hf3S8.

## Properties
Formation energy (no corrections) (eV/atom): -1.473
Energy (eV/atom): -5.964

Unit cell a=7.4471 b=7.4471 c=7.4471 alpha=59.57 beta=59.57 gamma=59.57
Fractional positions:
Na 0.0000 0.0000 0.0000
Li 0.0000 0.0000 0.5000
Li 0.0000 0.5000 0.0000
Li 0.5000 0.0000 0.0000
Li 0.5000 0.5000 0.5000
Hf 0.0000 0.5000 0.5000
Hf 0.5000 0.0000 0.5000
Hf 0.5000 0.5000 0.0000
S 0.2520 0.2520 0.2520
S 0.2563 0.2563 0.7311
S 0.2563 0.7311 0.2563
S 0.2689 0.7437 0.7437
S 0.7311 0.2563 0.2563
S 0.7437 0.2689 0.7437
S 0.7437 0.7437 0.2689
S 0.7480 0.7480 0.7480

---

## Nb6CrPt (GGA-PBE)

Data for an optimized crystal structure of Nb6CrPt.

## Properties
Formation energy from the elements (eV/atom): -0.13
Energy (eV/atom): -9.636

Unit cell a=7.2339 b=7.2339 c=7.2339 alpha=142.79 beta=142.79 gamma=53.65
Fractional positions:
Nb 0.1220 0.6220 0.5000
Nb 0.2464 0.2464 0.0000
Nb 0.3780 0.8780 0.5000
Nb 0.6220 0.1220 0.5000
Nb 0.7536 0.7536 0.0000
Nb 0.8780 0.3780 0.5000
Cr 0.0000 0.0000 0.0000
Pt 0.5000 0.5000 0.0000

---

## TaPbSCl2 (GGA-PBE)

Data for an optimized crystal structure of TaPbSCl2.

## Properties
Formation energy (no corrections) (eV/atom): 0.835
Energy (eV/atom): -3.841

Unit cell a=5.3376 b=5.3376 c=5.4460 alpha=90.00 beta=90.00 gamma=90.00
Fractional positions:
Ta 0.0000 0.0000 0.0000
Pb 0.5000 0.5000 0.5000
S 0.5000 0.5000 0.0000
Cl 0.0000 0.5000 0.5000
Cl 0.5000 0.0000 0.5000

---

## LaCd2GePt2 (GGA-PBE)

Data for an optimized crystal structure of LaCd2GePt2.

## Properties
Formation energy from the elements (eV/atom): -0.34
Energy (eV/atom): -4.251

Unit cell a=6.4952 b=6.4952 c=6.4952 alpha=131.28 beta=131.28 gamma=71.37
Fractional positions:
La 0.0000 0.0000 0.0000
Cd 0.2500 0.7500 0.5000
Cd 0.7500 0.2500 0.5000
Ge 0.5000 0.5000 0.0000
Pt 0.2743 0.2743 0.0000
Pt 0.7257 0.7257 0.0000

---

## Y2TlZnN (GGA-PBE)

Data for an optimized crystal structure of Y2TlZnN.

## Properties
Formation energy (no corrections) (eV/atom): -0.630
Energy (eV/atom): -5.609

Unit cell a=4.8469 b=4.8469 c=4.3114 alpha=90.00 beta=90.00 gamma=90.00
Fractional positions:
Y 0.0000 0.5000 0.0000
Y 0.5000 0.0000 0.0000
Tl 0.0000 0.0000 0.5000
Zn 0.5000 0.5000 0.5000
N 0.5000 0.5000 0.0000

---

## TbEr2NbN4 (GGA-PBE)

Data for an optimized crystal structure of TbEr2NbN4.

## Properties
Formation energy (no corrections) (eV/atom): -1.536
Energy (eV/atom): -8.677

Unit cell a=5.8034 b=3.3433 c=5.8130 alpha=90.00 beta=109.12 gamma=90.00
Fractional positions:
Tb 0.0000 0.0000 0.0000
Er 0.5000 0.0000 0.5000
Er 0.5000 0.5000 0.0000
Nb 0.0000 0.5000 0.5000
N 0.2385 0.0000 0.7350
N 0.2433 0.5000 0.2640
N 0.7567 0.5000 0.7360
N 0.7615 0.0000 0.2650